No. 1
SrCr2Ir, optimized geometry, DFT GGA-PBEsol; DOS(E_F) = 3.5 states/eV/cell; total magnetization = 0.000 μB/atom; ΔE_f = 0.47 eV/atom; symmetry = C2/m; theoretical density = 8.5 g/cm³
1.0
2.9691 0.0000 0.0000
-1.4846 4.7048 0.0052
0.0000 -1.0693 5.3606
Cr Ir Sr
2 1 1
Cartesian
1.4846 1.3977 3.3025
0.0000 2.2378 2.0632
0.0000 -0.5346 2.6803
1.4846 0.0000 0.0000

No. 2
K2CaMn, optimized geometry, DFT GGA-PBEsol; DOS(E_F) = 4.6 states/eV/cell; polymorph energy (0 for the lowest one) = 112 meV per atom; total magnetization = 1.063 μB/atom; ΔE_f = 0.88 eV/atom; symmetry = Fm-3m; theoretical density = 1.7 g/cm³
1.0
6.1698 0.0000 0.0000
3.0849 5.3432 0.0000
3.0849 1.7811 5.0376
Ca K Mn
1 2 1
Cartesian
0.0000 0.0000 0.0000
3.0849 1.7811 1.2594
9.2547 5.3432 3.7782
6.1698 3.5622 2.5188

No. 3
Ti5Al11, optimized geometry, DFT GGA-PBEsol; DOS(E_F) = 7.2 states/eV/cell; total magnetization = 0.000 μB/atom; ΔE_f = -0.41 eV/atom; symmetry = P4mm; theoretical density = 3.6 g/cm³
1.0
3.8931 0.0000 0.0000
0.0000 3.8931 0.0000
0.0000 0.0000 16.3734
Al Ti
11 5
Cartesian
1.9465 0.0000 0.0450
0.0000 1.9465 8.1542
1.9465 0.0000 8.1542
0.0000 1.9465 0.0450
0.0000 1.9465 4.0885
1.9465 0.0000 12.2699
1.9465 0.0000 4.0885
0.0000 1.9465 12.2699
0.0000 0.0000 10.2190
0.0000 0.0000 6.1224
1.9465 1.9465 14.3483
1.9465 1.9465 6.1590
0.0000 0.0000 14.4072
0.0000 0.0000 1.9591
1.9465 1.9465 10.0929
1.9465 1.9465 2.1904

No. 4
NaLi3Si, optimized geometry, DFT GGA-PBEsol; DOS(E_F) = 1.5 states/eV/cell; DFT total energy = -13.11 eV/cell; total magnetization = 0.000 μB/atom; symmetry = Pm-3m; theoretical density = 1.0 g/cm³
1.0
-1.5785 -4.5567 -0.7711
1.4746 0.2757 -4.6475
4.3799 -1.7351 1.2868
Na Si Li
1 1 3
Cartesian
2.1380 -3.0080 -2.0659
0.0000 0.0000 0.0000
0.7373 0.1378 -2.3238
2.1900 -0.8675 0.6434
-0.7893 -2.2783 -0.3856

No. 5
Na4MoN2O2, optimized geometry, DFT GGA-PBEsol; DOS(E_F) = 0.0 states/eV/cell; DFT total energy = -110.20 eV/cell; total magnetization = 0.000 μB/atom; symmetry = P-1; theoretical density = 3.1 g/cm³
1.0
5.8362 -0.0096 -0.0120
2.1058 5.4708 -0.0019
2.7920 0.1025 8.3788
Na Mo N O
8 2 4 4
Cartesian
5.7565 4.2639 8.2403
4.9774 1.2998 0.1247
3.0356 4.1896 3.3658
7.6984 1.3740 4.9991
5.9071 4.0982 4.6641
4.8268 1.4654 3.7008
5.6109 3.9722 1.5323
5.1231 1.5914 6.8326
8.5507 4.0069 6.3802
2.1832 1.5567 1.9847
2.8122 0.2412 3.0314
3.8525 3.0397 5.4131
6.8814 2.5239 2.9518
7.9218 5.3224 5.3335
7.0957 2.9034 6.8155
1.3659 0.8611 0.4564
3.6383 2.6603 1.5494
9.3681 4.7025 7.9085

No. 6
La2In2Sn, optimized geometry, DFT GGA-PBEsol; DOS(E_F) = 5.4 states/eV/cell; total magnetization = 0.000 μB/atom; ΔE_f = -0.57 eV/atom; symmetry = P4/mbm; theoretical density = 7.2 g/cm³
1.0
-1.1210 -4.1287 2.2235
7.3562 -0.7776 2.2650
-1.5810 3.9191 6.4800
In Sn La
4 2 4
Cartesian
1.3465 3.1220 6.4760
5.4042 1.7924 6.0529
4.4287 0.0195 2.2691
0.3711 1.3491 2.6922
0.0000 0.0000 0.0000
2.8876 1.5708 4.3725
-0.3637 0.4322 5.8467
3.0644 0.6631 8.0037
5.0180 -1.4194 5.1218
1.5898 -1.6502 2.9648

No. 7
PmTmAl2, optimized geometry, DFT GGA-PBEsol; DOS(E_F) = 1.4 states/eV/cell; total magnetization = 0.000 μB/atom; ΔE_f = -0.38 eV/atom; symmetry = Fm-3m; theoretical density = 6.7 g/cm³
1.0
5.0587 0.0000 0.0000
2.5293 4.3810 0.0000
2.5293 1.4603 4.1304
Tm Al Pm
1 2 1
Cartesian
0.0000 0.0000 0.0000
2.5293 1.4603 1.0326
7.5880 4.3810 3.0978
5.0587 2.9206 2.0652

No. 8
Te3Se, optimized geometry, DFT GGA-PBEsol; DOS(E_F) = 2.3 states/eV/cell; DFT total energy = -27.99 eV/cell; total magnetization = 0.000 μB/atom; symmetry = Pmmn; theoretical density = 6.6 g/cm³
1.0
-1.0834 2.6638 -2.9840
-6.5594 0.1495 2.5149
1.9543 6.0987 4.7347
Se Te
2 6
Cartesian
-2.4971 0.0569 0.9574
-3.6269 4.4738 2.4328
-4.6996 1.4267 0.1021
-1.4244 3.1041 3.2880
-4.1654 4.6703 5.6813
-5.1221 1.6846 3.3634
-1.0018 2.8461 0.0267
-0.0043 5.9592 2.4435